Density functional theory data (GGA-PBE) for an optimized crystal structure of Li2CaSe.

The structure in POSCAR format:
```
Li2CaSe
1.0
5.508 0.001 0.000
2.013 5.127 0.000
-3.760 -2.564 3.102
Ca Se Li
1 1 2
Direct
0.750 0.250 0.500
0.500 0.500 0.000
0.000 0.000 0.000
0.250 0.750 0.500
```

Crystal system ... tetragonal
E ... -2.882 eV per atom
Fermi-level density of states ... 1.84 states/eV/f.u.
Formation energy (no corrections) ... -0.553 eV/atom
Symmetry ... No. 119

Density functional theory data (GGA-PBE) for an optimized crystal structure of LiCa5Se6.

The structure in POSCAR format:
```
LiCa5Se6
1.0
7.114 -0.113 -1.341
-3.846 5.986 -1.341
0.140 0.251 7.233
Li Ca Se
1 5 6
Direct
0.000 0.000 0.000
0.333 0.667 0.000
0.667 0.333 0.000
0.500 0.500 0.500
0.834 0.166 0.500
0.166 0.834 0.500
0.917 0.586 0.752
0.248 0.248 0.752
0.586 0.917 0.752
0.414 0.083 0.248
0.083 0.414 0.248
0.752 0.752 0.248
```

Crystal system ... monoclinic
E ... -4.499 eV per atom
Fermi-level density of states ... 6.89 states/eV/f.u.
Formation energy (no corrections) ... -1.763 eV/atom
Symmetry ... No. 12

Density functional theory data (GGA-PBE) for an optimized crystal structure of Li2CaSe.

The structure in POSCAR format:
```
Li2CaSe
1.0
-2.198 3.110 1.589
-2.856 1.899 -2.294
-5.914 -2.335 1.730
Li Ca Se
2 1 1
Direct
0.760 0.760 0.720
0.037 0.037 0.888
0.239 0.239 0.282
0.464 0.464 0.610
```

Crystal system ... trigonal
E ... -3.150 eV per atom
Fermi-level density of states ... 0.64 states/eV/f.u.
Formation energy (no corrections) ... -0.821 eV/atom
Symmetry ... No. 160

Density functional theory data (GGA-PBE) for an optimized crystal structure of LiCa2Se.

The structure in POSCAR format:
```
LiCa2Se
1.0
4.147 0.000 0.000
0.000 4.308 0.000
0.000 2.154 5.927
Ca Li Se
2 1 1
Direct
0.500 0.276 0.323
0.000 0.983 0.910
0.000 0.688 0.499
0.500 0.554 0.768
```

Crystal system ... orthorhombic
E ... -3.220 eV per atom
Fermi-level density of states ... 2.32 states/eV/f.u.
Formation energy (no corrections) ... -0.870 eV/atom
Symmetry ... No. 38

Density functional theory data (GGA-PBE) for an optimized crystal structure of LiCa2Se.

The structure in POSCAR format:
```
LiCa2Se
1.0
-6.328 -3.044 -4.362
3.672 -7.405 -0.160
-3.129 -6.188 1.025
Se Ca Li
2 4 2
Direct
0.750 0.250 0.500
0.000 0.000 0.000
0.671 0.125 0.250
0.375 0.329 0.750
0.875 0.921 0.750
0.079 0.625 0.250
0.500 0.500 0.000
0.250 0.750 0.500
```

Crystal system ... tetragonal
E ... -3.007 eV per atom
Fermi-level density of states ... 1.99 states/eV/f.u.
Formation energy (no corrections) ... -0.657 eV/atom
Symmetry ... No. 122

Density functional theory data (GGA-PBE) for an optimized crystal structure of LiCaSe3.

The structure in POSCAR format:
```
LiCaSe3
1.0
4.821 0.000 0.000
0.000 4.821 0.000
0.000 0.000 4.821
Ca Li Se
1 1 3
Direct
0.500 0.500 0.500
0.000 0.000 0.000
0.000 0.000 0.500
0.000 0.500 0.000
0.500 0.000 0.000
```

ΔE to the lowest computed polymorph ... 0.00 kJ/mol of atoms
Crystal system ... cubic
E ... -3.497 eV per atom
Fermi-level density of states ... 5.32 states/eV/f.u.
Formation energy (no corrections) ... -0.623 eV/atom
Symmetry ... No. 221

Density functional theory data (GGA-PBE) for an optimized crystal structure of LiCa2Se.

The structure in POSCAR format:
```
LiCa2Se
1.0
8.099 0.032 -0.009
6.169 5.248 0.009
-6.996 -3.012 2.752
Ca Li Se
2 1 1
Direct
0.410 0.410 0.000
0.090 0.090 0.000
0.750 0.250 0.500
0.250 0.750 0.500
```

Crystal system ... orthorhombic
E ... -3.093 eV per atom
Fermi-level density of states ... 2.54 states/eV/f.u.
Formation energy (no corrections) ... -0.743 eV/atom
Symmetry ... No. 71

Density functional theory data (GGA-PBE) for an optimized crystal structure of LiCa2Se.

The structure in POSCAR format:
```
LiCa2Se
1.0
-4.417 5.045 -2.380
-5.334 -0.442 -4.689
3.124 -2.249 5.984
Ca Li Se
2 1 1
Direct
0.054 0.054 0.000
0.764 0.264 0.500
0.428 0.428 0.000
0.254 0.754 0.500
```

Crystal system ... orthorhombic
E ... -3.118 eV per atom
Fermi-level density of states ... 2.64 states/eV/f.u.
Formation energy (no corrections) ... -0.768 eV/atom
Symmetry ... No. 44

Density functional theory data (GGA-PBE) for an optimized crystal structure of Li2CaSe.

The structure in POSCAR format:
```
Li2CaSe
1.0
3.966 0.000 0.000
0.000 3.870 0.008
0.000 1.856 6.039
Li Se Ca
2 1 1
Direct
0.000 0.986 0.146
0.500 0.454 0.212
0.000 0.328 0.471
0.500 0.732 0.671
```

Crystal system ... monoclinic
E ... -3.197 eV per atom
Fermi-level density of states ... 0.40 states/eV/f.u.
Formation energy (no corrections) ... -0.868 eV/atom
Symmetry ... No. 6

Density functional theory data (GGA-PBE) for an optimized crystal structure of LiCa2Se.

The structure in POSCAR format:
```
LiCa2Se
1.0
5.417 0.000 0.000
2.708 4.691 0.000
2.708 1.564 4.423
Li Ca Se
1 2 1
Direct
0.500 0.500 0.500
0.250 0.250 0.250
0.000 0.000 0.000
0.750 0.750 0.750
```

Crystal system ... cubic
E ... -2.592 eV per atom
Fermi-level density of states ... 3.48 states/eV/f.u.
Formation energy (no corrections) ... -0.242 eV/atom
Symmetry ... No. 216

Density functional theory data (GGA-PBE) for an optimized crystal structure of Li2CaSe.

The structure in POSCAR format:
```
Li2CaSe
1.0
5.015 0.000 0.000
0.000 4.234 -0.018
0.000 0.288 4.253
Ca Li Se
1 2 1
Direct
0.500 0.750 0.750
0.000 0.445 0.448
0.000 0.055 0.052
0.500 0.250 0.250
```

Crystal system ... monoclinic
E ... -3.103 eV per atom
Fermi-level density of states ... 0.43 states/eV/f.u.
Formation energy (no corrections) ... -0.774 eV/atom
Symmetry ... No. 10

Density functional theory data (GGA-PBE) for an optimized crystal structure of LiCa2Se.

The structure in POSCAR format:
```
LiCa2Se
1.0
-3.909 -3.161 -1.250
3.026 -3.946 1.454
-1.369 0.276 3.591
Li Se Ca
1 1 2
Direct
0.500 0.000 0.500
0.000 0.500 0.500
0.000 0.000 0.000
0.500 0.500 0.000
```

Crystal system ... orthorhombic
E ... -3.066 eV per atom
Fermi-level density of states ... 2.23 states/eV/f.u.
Formation energy (no corrections) ... -0.715 eV/atom
Symmetry ... No. 65

Density functional theory data (GGA-PBE) for an optimized crystal structure of LiCa2Se.

The structure in POSCAR format:
```
LiCa2Se
1.0
4.038 0.004 0.006
2.021 3.496 0.006
1.971 1.139 8.938
Ca Se Li
2 1 1
Direct
0.518 0.518 0.450
0.982 0.982 0.050
0.250 0.250 0.250
0.750 0.750 0.750
```

Crystal system ... monoclinic
E ... -3.198 eV per atom
Fermi-level density of states ... 2.10 states/eV/f.u.
Formation energy (no corrections) ... -0.848 eV/atom
Symmetry ... No. 12

Density functional theory data (GGA-PBE) for an optimized crystal structure of Li2CaSe.

The structure in POSCAR format:
```
Li2CaSe
1.0
-5.574 2.359 2.791
-1.733 -0.109 6.435
4.462 1.681 -4.657
Li Se Ca
2 1 1
Direct
0.558 0.558 0.000
0.942 0.942 0.000
0.750 0.250 0.500
0.250 0.750 0.500
```

Crystal system ... orthorhombic
E ... -3.057 eV per atom
Fermi-level density of states ... 1.63 states/eV/f.u.
Formation energy (no corrections) ... -0.729 eV/atom
Symmetry ... No. 71

Density functional theory data (GGA-PBE) for an optimized crystal structure of Li2CaSe.

The structure in POSCAR format:
```
Li2CaSe
1.0
5.056 0.000 0.000
2.528 4.378 0.000
2.528 1.459 4.128
Ca Li Se
1 2 1
Direct
0.500 0.500 0.500
0.000 0.000 0.000
0.250 0.250 0.250
0.750 0.750 0.750
```

Crystal system ... cubic
E ... -2.873 eV per atom
Fermi-level density of states ... 0.94 states/eV/f.u.
Formation energy (no corrections) ... -0.545 eV/atom
Symmetry ... No. 216

Density functional theory data (GGA-PBE) for an optimized crystal structure of Li4CaSe.

The structure in POSCAR format:
```
Li4CaSe
1.0
0.000 4.003 4.003
4.003 0.000 4.003
4.003 4.003 0.000
Se Li Ca
1 4 1
Direct
0.750 0.750 0.750
0.873 0.376 0.376
0.376 0.376 0.376
0.376 0.376 0.873
0.376 0.873 0.376
0.000 0.000 0.000
```

Crystal system ... cubic
E ... -2.418 eV per atom
Fermi-level density of states ... 2.15 states/eV/f.u.
Formation energy (no corrections) ... -0.228 eV/atom
Symmetry ... No. 216

Density functional theory data (GGA-PBE) for an optimized crystal structure of Li2CaSe.

The structure in POSCAR format:
```
Li2CaSe
1.0
-2.166 0.744 2.911
-0.857 -3.593 0.267
5.129 -0.922 4.051
Ca Se Li
1 1 2
Direct
0.500 0.500 0.706
0.000 0.000 0.467
0.500 0.500 0.259
0.000 0.000 0.069
```

Crystal system ... orthorhombic
E ... -3.122 eV per atom
Fermi-level density of states ... 0.68 states/eV/f.u.
Formation energy (no corrections) ... -0.794 eV/atom
Symmetry ... No. 35

Density functional theory data (GGA-PBE) for an optimized crystal structure of LiCa2Se.

The structure in POSCAR format:
```
LiCa2Se
1.0
4.226 0.000 0.000
0.000 4.226 0.000
0.000 0.000 6.338
Li Se Ca
1 1 2
Direct
0.000 0.000 0.453
0.500 0.500 0.807
0.500 0.500 0.304
0.000 0.000 0.936
```

Crystal system ... tetragonal
E ... -3.055 eV per atom
Fermi-level density of states ... 2.38 states/eV/f.u.
Formation energy (no corrections) ... -0.705 eV/atom
Symmetry ... No. 99

Density functional theory data (GGA-PBE) for an optimized crystal structure of LiCa3Se.

The structure in POSCAR format:
```
LiCa3Se
1.0
-0.745 -1.072 5.537
2.033 -5.260 -0.745
5.260 1.881 1.072
Ca Se Li
3 1 1
Direct
0.500 0.000 0.000
0.000 0.500 0.000
0.000 0.000 0.500
0.000 0.000 0.000
0.500 0.500 0.500
```

ΔE to the lowest computed polymorph ... 0.00 kJ/mol of atoms
Crystal system ... cubic
E ... -2.879 eV per atom
Fermi-level density of states ... 3.13 states/eV/f.u.
Formation energy (no corrections) ... -0.598 eV/atom
Symmetry ... No. 221

Density functional theory data (GGA-PBE) for an optimized crystal structure of Li2CaSe.

The structure in POSCAR format:
```
Li2CaSe
1.0
-0.704 2.181 3.396
4.650 -4.646 1.478
3.679 1.763 -0.365
Se Ca Li
1 1 2
Direct
0.000 0.500 0.500
0.500 0.500 0.000
0.000 0.000 0.000
0.500 0.000 0.500
```

Crystal system ... orthorhombic
E ... -2.967 eV per atom
Fermi-level density of states ... 2.51 states/eV/f.u.
Formation energy (no corrections) ... -0.639 eV/atom
Symmetry ... No. 69